# SCAN BaCu2BiCl, single point on PBEsol structure
# Energy relative to the elements, uncorrected, eV/atom: 0.297
# Polymorph energy (0 for the lowest one), eV per atom: 0.0000
# M_tot, Bohr magnetons per cell: 0.00
# Density, g/cm³: 6.24
# E_tot, eV per formula unit: -155.023
data_BaCu2BiCl
_chemical_formula_sum 'Ba1 Cu2 Bi1 Cl1'
_cell_length_a 4.864
_cell_length_b 4.864
_cell_length_c 5.724
_cell_angle_alpha 90.00
_cell_angle_beta 90.00
_cell_angle_gamma 90.00
_symmetry_space_group_name_H-M 'P 4/m m m'
_symmetry_Int_Tables_number 123
_symmetry_space_group_name_Hall '-P 4 2'
loop_
_atom_site_label
_atom_site_fract_x
_atom_site_fract_y
_atom_site_fract_z
Ba1 0.000 0.000 0.000
Cu1 0.000 0.500 0.500
Bi1 0.500 0.500 0.000
Cl1 0.500 0.500 0.500

---

# SCAN BaCu2BiCl, single point on PBEsol structure
# Energy relative to the elements, uncorrected, eV/atom: 0.651
# Polymorph energy (0 for the lowest one), eV per atom: 0.3547
# M_tot, Bohr magnetons per cell: 0.00
# Density, g/cm³: 5.12
# E_tot, eV per formula unit: -153.249
data_BaCu2BiCl
_chemical_formula_sum 'Ba1 Cu2 Bi1 Cl1'
_cell_length_a 5.499
_cell_length_b 5.499
_cell_length_c 5.457
_cell_angle_alpha 90.00
_cell_angle_beta 90.00
_cell_angle_gamma 90.00
_symmetry_space_group_name_H-M 'P 4/m m m'
_symmetry_Int_Tables_number 123
_symmetry_space_group_name_Hall '-P 4 2'
loop_
_atom_site_label
_atom_site_fract_x
_atom_site_fract_y
_atom_site_fract_z
Ba1 0.000 0.000 0.000
Cu1 0.000 0.500 0.000
Bi1 0.500 0.500 0.500
Cl1 0.000 0.000 0.500

---

# SCAN BaLiBiCl2, single point on PBEsol structure
# Energy relative to the elements, uncorrected, eV/atom: -0.800
# M_tot, Bohr magnetons per cell: 0.00
# Density, g/cm³: 4.13
# E_tot, eV per formula unit: -140.474
data_BaLiBiCl2
_chemical_formula_sum 'Ba1 Li1 Bi1 Cl2'
_cell_length_a 5.808
_cell_length_b 5.808
_cell_length_c 5.049
_cell_angle_alpha 90.00
_cell_angle_beta 90.00
_cell_angle_gamma 90.00
_symmetry_space_group_name_H-M 'P 4/m m m'
_symmetry_Int_Tables_number 123
_symmetry_space_group_name_Hall '-P 4 2'
loop_
_atom_site_label
_atom_site_fract_x
_atom_site_fract_y
_atom_site_fract_z
Ba1 0.000 0.000 0.000
Li1 0.500 0.500 0.000
Bi1 0.500 0.500 0.500
Cl1 0.000 0.500 0.500

---

# SCAN Ba2NbBiCl, single point on PBEsol structure
# Energy relative to the elements, uncorrected, eV/atom: 0.395
# M_tot, Bohr magnetons per cell: 5.04
# Density, g/cm³: 4.19
# E_tot, eV per formula unit: -196.815
data_Ba2NbBiCl
_chemical_formula_sum 'Ba2 Nb1 Bi1 Cl1'
_cell_length_a 6.722
_cell_length_b 6.722
_cell_length_c 5.371
_cell_angle_alpha 90.00
_cell_angle_beta 90.00
_cell_angle_gamma 90.00
_symmetry_space_group_name_H-M 'P 4/m m m'
_symmetry_Int_Tables_number 123
_symmetry_space_group_name_Hall '-P 4 2'
loop_
_atom_site_label
_atom_site_fract_x
_atom_site_fract_y
_atom_site_fract_z
Ba1 0.000 0.500 0.000
Nb1 0.000 0.000 0.500
Bi1 0.500 0.500 0.000
Cl1 0.500 0.500 0.500

---

# SCAN Ba3BiCl3O3, single point on PBEsol structure
# Energy relative to the elements, uncorrected, eV/atom: -2.520
# M_tot, Bohr magnetons per cell: 0.00
# Density, g/cm³: 5.02
# E_tot, eV per formula unit: -265.059
data_Ba3BiCl3O3
_chemical_formula_sum 'Ba12 Bi4 Cl12 O12'
_cell_length_a 7.017
_cell_length_b 12.018
_cell_length_c 12.174
_cell_angle_alpha 90.00
_cell_angle_beta 90.00
_cell_angle_gamma 90.00
_symmetry_space_group_name_H-M 'P n m a'
_symmetry_Int_Tables_number 62
_symmetry_space_group_name_Hall '-P 2ac 2n'
loop_
_atom_site_label
_atom_site_fract_x
_atom_site_fract_y
_atom_site_fract_z
Ba1 0.156 0.250 0.033
Ba2 0.174 0.067 0.387
Bi1 0.101 0.250 0.623
Cl1 0.077 0.750 0.735
Cl2 0.114 0.504 0.136
O1 0.069 0.626 0.450
O2 0.208 0.750 0.992

---

# SCAN Ba2BiPtCl, single point on PBEsol structure
# Energy relative to the elements, uncorrected, eV/atom: -0.183
# M_tot, Bohr magnetons per cell: 0.00
# Density, g/cm³: 5.20
# E_tot, eV per formula unit: -236.768
data_Ba2BiPtCl
_chemical_formula_sum 'Ba2 Bi1 Pt1 Cl1'
_cell_length_a 6.594
_cell_length_b 6.594
_cell_length_c 5.249
_cell_angle_alpha 90.00
_cell_angle_beta 90.00
_cell_angle_gamma 90.00
_symmetry_space_group_name_H-M 'P 4/m m m'
_symmetry_Int_Tables_number 123
_symmetry_space_group_name_Hall '-P 4 2'
loop_
_atom_site_label
_atom_site_fract_x
_atom_site_fract_y
_atom_site_fract_z
Ba1 0.000 0.500 0.000
Bi1 0.000 0.000 0.000
Pt1 0.500 0.500 0.500
Cl1 0.000 0.000 0.500

---

# SCAN Ba2CoGeBi, single point on PBEsol structure
# Calculated formation energy, eV/atom: -0.24
# M_tot, Bohr magnetons per cell: 1.58
# Density, g/cm³: 5.95
# E_tot, eV per formula unit: -195.289
data_Ba2CoGeBi
_chemical_formula_sum 'Ba2 Co1 Ge1 Bi1'
_cell_length_a 6.284
_cell_length_b 6.284
_cell_length_c 4.347
_cell_angle_alpha 90.00
_cell_angle_beta 90.00
_cell_angle_gamma 90.00
_symmetry_space_group_name_H-M 'P 4/m m m'
_symmetry_Int_Tables_number 123
_symmetry_space_group_name_Hall '-P 4 2'
loop_
_atom_site_label
_atom_site_fract_x
_atom_site_fract_y
_atom_site_fract_z
Ba1 0.000 0.500 0.000
Co1 0.000 0.000 0.500
Ge1 0.000 0.000 0.000
Bi1 0.500 0.500 0.500

---

# SCAN BaCr3Bi, single point on PBEsol structure
# Calculated formation energy, eV/atom: 1.94
# M_tot, Bohr magnetons per cell: 12.49
# Density, g/cm³: 6.46
# E_tot, eV per formula unit: -163.593
data_BaCr3Bi
_chemical_formula_sum 'Ba1 Cr3 Bi1'
_cell_length_a 5.055
_cell_length_b 5.055
_cell_length_c 5.055
_cell_angle_alpha 90.00
_cell_angle_beta 90.00
_cell_angle_gamma 90.00
_symmetry_space_group_name_H-M 'P m -3 m'
_symmetry_Int_Tables_number 221
_symmetry_space_group_name_Hall '-P 4 2 3'
loop_
_atom_site_label
_atom_site_fract_x
_atom_site_fract_y
_atom_site_fract_z
Ba1 0.000 0.000 0.000
Cr1 0.000 0.000 0.500
Bi1 0.500 0.500 0.500